Compound: TlCo2PO
Source: the Alexandria database
Functional: GGA+U
Structure: relaxed

Summary:
The value obtained for the total energy is -0.289 Ry/atom. The space-group type is P4/mmm, No. 123.

Unit cell a=4.2223 b=5.5045 c=4.2223 alpha=90.00 beta=90.00 gamma=90.00
Closest atoms and distances in Å follow each position.
Sites, in units of the cell vectors:
Co (0.5000, 0.0000, 0.0000)  2 P 2.11
Tl (0.0000, 0.5000, 0.0000)  2 P 2.75, 4 O 2.99
Co (0.0000, 0.0000, 0.5000)  2 P 2.11
P (0.0000, 0.0000, 0.0000)  4 Co 2.11
O (0.5000, 0.5000, 0.5000)  4 Tl 2.99